1.
# LiLuMgAu | Alexandria via LeMat-Bulk | PBE-GGA | optimized geometry
data_LiLuMgAu
_symmetry_space_group_name_H-M 'F -4 3 m'
_symmetry_Int_Tables_number 216
_symmetry_space_group_name_Hall 'F -4 2 3'
_cell_length_a 6.816
_cell_length_b 6.816
_cell_length_c 6.816
_cell_angle_alpha 90.00
_cell_angle_beta 90.00
_cell_angle_gamma 90.00
loop_
_atom_site_label
_atom_site_type_symbol
_atom_site_fract_x
_atom_site_fract_y
_atom_site_fract_z
Li1 Li 0.000 0.000 0.000
Lu1 Lu 0.250 0.250 0.250
Mg1 Mg 0.250 0.250 0.750
Au1 Au 0.000 0.000 0.500
# Total DFT energy (no corrections) = -3.303 eV per atom
# E_form = -46.0 kJ/mol of atoms
# Crystal system = cubic

2.
# LiNdLuAu | Alexandria via LeMat-Bulk | PBE-GGA | optimized geometry
data_LiNdLuAu
_symmetry_space_group_name_H-M 'F -4 3 m'
_symmetry_Int_Tables_number 216
_symmetry_space_group_name_Hall 'F -4 2 3'
_cell_length_a 7.275
_cell_length_b 7.275
_cell_length_c 7.275
_cell_angle_alpha 90.00
_cell_angle_beta 90.00
_cell_angle_gamma 90.00
loop_
_atom_site_label
_atom_site_type_symbol
_atom_site_fract_x
_atom_site_fract_y
_atom_site_fract_z
Li1 Li 0.000 0.000 0.000
Nd1 Nd 0.250 0.250 0.750
Lu1 Lu 0.250 0.250 0.250
Au1 Au 0.000 0.000 0.500
# Total DFT energy (no corrections) = -3.999 eV per atom
# E_form = -36.5 kJ/mol of atoms
# Crystal system = cubic

3.
# LiLuPbAu | Alexandria via LeMat-Bulk | PBE-GGA | optimized geometry
data_LiLuPbAu
_symmetry_space_group_name_H-M 'F -4 3 m'
_symmetry_Int_Tables_number 216
_symmetry_space_group_name_Hall 'F -4 2 3'
_cell_length_a 7.026
_cell_length_b 7.026
_cell_length_c 7.026
_cell_angle_alpha 90.00
_cell_angle_beta 90.00
_cell_angle_gamma 90.00
loop_
_atom_site_label
_atom_site_type_symbol
_atom_site_fract_x
_atom_site_fract_y
_atom_site_fract_z
Li1 Li 0.000 0.000 0.000
Lu1 Lu 0.000 0.000 0.500
Pb1 Pb 0.250 0.250 0.250
Au1 Au 0.250 0.250 0.750
# Total DFT energy (no corrections) = -3.869 eV per atom
# E_form = -49.6 kJ/mol of atoms
# Crystal system = cubic

4.
# LiLuPdAu | Alexandria via LeMat-Bulk | PBE-GGA | optimized geometry
data_LiLuPdAu
_symmetry_space_group_name_H-M 'F -4 3 m'
_symmetry_Int_Tables_number 216
_symmetry_space_group_name_Hall 'F -4 2 3'
_cell_length_a 6.660
_cell_length_b 6.660
_cell_length_c 6.660
_cell_angle_alpha 90.00
_cell_angle_beta 90.00
_cell_angle_gamma 90.00
loop_
_atom_site_label
_atom_site_type_symbol
_atom_site_fract_x
_atom_site_fract_y
_atom_site_fract_z
Li1 Li 0.000 0.000 0.000
Lu1 Lu 0.000 0.000 0.500
Pd1 Pd 0.250 0.250 0.250
Au1 Au 0.250 0.250 0.750
# Total DFT energy (no corrections) = -4.463 eV per atom
# E_form = -71.1 kJ/mol of atoms
# Crystal system = cubic

5.
# LiPmLuAu | Alexandria via LeMat-Bulk | PBE-GGA | optimized geometry
data_LiPmLuAu
_symmetry_space_group_name_H-M 'F -4 3 m'
_symmetry_Int_Tables_number 216
_symmetry_space_group_name_Hall 'F -4 2 3'
_cell_length_a 7.244
_cell_length_b 7.244
_cell_length_c 7.244
_cell_angle_alpha 90.00
_cell_angle_beta 90.00
_cell_angle_gamma 90.00
loop_
_atom_site_label
_atom_site_type_symbol
_atom_site_fract_x
_atom_site_fract_y
_atom_site_fract_z
Li1 Li 0.000 0.000 0.000
Pm1 Pm 0.250 0.250 0.250
Lu1 Lu 0.250 0.250 0.750
Au1 Au 0.000 0.000 0.500
# Total DFT energy (no corrections) = -4.005 eV per atom
# E_form = -37.6 kJ/mol of atoms
# Crystal system = cubic

6.
# LiPrLuAu | Alexandria via LeMat-Bulk | PBE-GGA | optimized geometry
data_LiPrLuAu
_symmetry_space_group_name_H-M 'F -4 3 m'
_symmetry_Int_Tables_number 216
_symmetry_space_group_name_Hall 'F -4 2 3'
_cell_length_a 7.307
_cell_length_b 7.307
_cell_length_c 7.307
_cell_angle_alpha 90.00
_cell_angle_beta 90.00
_cell_angle_gamma 90.00
loop_
_atom_site_label
_atom_site_type_symbol
_atom_site_fract_x
_atom_site_fract_y
_atom_site_fract_z
Li1 Li 0.000 0.000 0.000
Pr1 Pr 0.250 0.250 0.750
Lu1 Lu 0.250 0.250 0.250
Au1 Au 0.000 0.000 0.500
# Total DFT energy (no corrections) = -3.991 eV per atom
# E_form = -35.5 kJ/mol of atoms
# Crystal system = cubic

7.
# LiLuPtAu | Alexandria via LeMat-Bulk | PBE-GGA | optimized geometry
data_LiLuPtAu
_symmetry_space_group_name_H-M 'F -4 3 m'
_symmetry_Int_Tables_number 216
_symmetry_space_group_name_Hall 'F -4 2 3'
_cell_length_a 6.646
_cell_length_b 6.646
_cell_length_c 6.646
_cell_angle_alpha 90.00
_cell_angle_beta 90.00
_cell_angle_gamma 90.00
loop_
_atom_site_label
_atom_site_type_symbol
_atom_site_fract_x
_atom_site_fract_y
_atom_site_fract_z
Li1 Li 0.000 0.000 0.000
Lu1 Lu 0.000 0.000 0.500
Pt1 Pt 0.250 0.250 0.750
Au1 Au 0.250 0.250 0.250
# Total DFT energy (no corrections) = -4.800 eV per atom
# E_form = -83.1 kJ/mol of atoms
# Crystal system = cubic

8.
# LiLuPuAu | Alexandria via LeMat-Bulk | PBE-GGA | optimized geometry
data_LiLuPuAu
_symmetry_space_group_name_H-M 'F -4 3 m'
_symmetry_Int_Tables_number 216
_symmetry_space_group_name_Hall 'F -4 2 3'
_cell_length_a 7.173
_cell_length_b 7.173
_cell_length_c 7.173
_cell_angle_alpha 90.00
_cell_angle_beta 90.00
_cell_angle_gamma 90.00
loop_
_atom_site_label
_atom_site_type_symbol
_atom_site_fract_x
_atom_site_fract_y
_atom_site_fract_z
Li1 Li 0.000 0.000 0.000
Lu1 Lu 0.250 0.250 0.250
Pu1 Pu 0.250 0.250 0.750
Au1 Au 0.000 0.000 0.500
# Total DFT energy (no corrections) = -6.196 eV per atom
# E_form = -17.8 kJ/mol of atoms
# Crystal system = cubic

9.
# LiLuRhAu | Alexandria via LeMat-Bulk | PBE-GGA | optimized geometry
data_LiLuRhAu
_symmetry_space_group_name_H-M 'F -4 3 m'
_symmetry_Int_Tables_number 216
_symmetry_space_group_name_Hall 'F -4 2 3'
_cell_length_a 6.557
_cell_length_b 6.557
_cell_length_c 6.557
_cell_angle_alpha 90.00
_cell_angle_beta 90.00
_cell_angle_gamma 90.00
loop_
_atom_site_label
_atom_site_type_symbol
_atom_site_fract_x
_atom_site_fract_y
_atom_site_fract_z
Li1 Li 0.000 0.000 0.000
Lu1 Lu 0.000 0.000 0.500
Rh1 Rh 0.250 0.250 0.250
Au1 Au 0.250 0.250 0.750
# Total DFT energy (no corrections) = -4.908 eV per atom
# E_form = -61.9 kJ/mol of atoms
# Crystal system = cubic

10.
# LiLuSbAu | Alexandria via LeMat-Bulk | PBE-GGA | optimized geometry
data_LiLuSbAu
_symmetry_space_group_name_H-M 'F -4 3 m'
_symmetry_Int_Tables_number 216
_symmetry_space_group_name_Hall 'F -4 2 3'
_cell_length_a 7.029
_cell_length_b 7.029
_cell_length_c 7.029
_cell_angle_alpha 90.00
_cell_angle_beta 90.00
_cell_angle_gamma 90.00
loop_
_atom_site_label
_atom_site_type_symbol
_atom_site_fract_x
_atom_site_fract_y
_atom_site_fract_z
Li1 Li 0.000 0.000 0.000
Lu1 Lu 0.000 0.000 0.500
Sb1 Sb 0.250 0.250 0.750
Au1 Au 0.250 0.250 0.250
# Total DFT energy (no corrections) = -4.176 eV per atom
# Crystal system = cubic
# Formation energy (no corrections) = -0.718 eV/atom

11.
# LiLuSnAu | Alexandria via LeMat-Bulk | PBE-GGA | optimized geometry
data_LiLuSnAu
_symmetry_space_group_name_H-M 'F -4 3 m'
_symmetry_Int_Tables_number 216
_symmetry_space_group_name_Hall 'F -4 2 3'
_cell_length_a 6.948
_cell_length_b 6.948
_cell_length_c 6.948
_cell_angle_alpha 90.00
_cell_angle_beta 90.00
_cell_angle_gamma 90.00
loop_
_atom_site_label
_atom_site_type_symbol
_atom_site_fract_x
_atom_site_fract_y
_atom_site_fract_z
Li1 Li 0.000 0.000 0.000
Lu1 Lu 0.000 0.000 0.500
Sn1 Sn 0.250 0.250 0.250
Au1 Au 0.250 0.250 0.750
# Total DFT energy (no corrections) = -4.037 eV per atom
# E_form = -58.7 kJ/mol of atoms
# Crystal system = cubic

12.
# SrLiLuAu | Alexandria via LeMat-Bulk | PBE-GGA | optimized geometry
data_SrLiLuAu
_symmetry_space_group_name_H-M 'F -4 3 m'
_symmetry_Int_Tables_number 216
_symmetry_space_group_name_Hall 'F -4 2 3'
_cell_length_a 7.414
_cell_length_b 7.414
_cell_length_c 7.414
_cell_angle_alpha 90.00
_cell_angle_beta 90.00
_cell_angle_gamma 90.00
loop_
_atom_site_label
_atom_site_type_symbol
_atom_site_fract_x
_atom_site_fract_y
_atom_site_fract_z
Sr1 Sr 0.000 0.000 0.000
Li1 Li 0.250 0.250 0.250
Lu1 Lu 0.000 0.000 0.500
Au1 Au 0.250 0.250 0.750
# Total DFT energy (no corrections) = -3.138 eV per atom
# E_form = -28.0 kJ/mol of atoms
# Crystal system = cubic

13.
# LiTbLuAu | Alexandria via LeMat-Bulk | PBE-GGA | optimized geometry
data_LiTbLuAu
_symmetry_space_group_name_H-M 'F -4 3 m'
_symmetry_Int_Tables_number 216
_symmetry_space_group_name_Hall 'F -4 2 3'
_cell_length_a 7.150
_cell_length_b 7.150
_cell_length_c 7.150
_cell_angle_alpha 90.00
_cell_angle_beta 90.00
_cell_angle_gamma 90.00
loop_
_atom_site_label
_atom_site_type_symbol
_atom_site_fract_x
_atom_site_fract_y
_atom_site_fract_z
Li1 Li 0.000 0.000 0.000
Tb1 Tb 0.250 0.250 0.250
Lu1 Lu 0.250 0.250 0.750
Au1 Au 0.000 0.000 0.500
# Total DFT energy (no corrections) = -4.004 eV per atom
# E_form = -40.4 kJ/mol of atoms
# Crystal system = cubic

14.
# LiLuThAu | Alexandria via LeMat-Bulk | PBE-GGA | optimized geometry
data_LiLuThAu
_symmetry_space_group_name_H-M 'F -4 3 m'
_symmetry_Int_Tables_number 216
_symmetry_space_group_name_Hall 'F -4 2 3'
_cell_length_a 7.279
_cell_length_b 7.279
_cell_length_c 7.279
_cell_angle_alpha 90.00
_cell_angle_beta 90.00
_cell_angle_gamma 90.00
loop_
_atom_site_label
_atom_site_type_symbol
_atom_site_fract_x
_atom_site_fract_y
_atom_site_fract_z
Li1 Li 0.000 0.000 0.000
Lu1 Lu 0.250 0.250 0.250
Th1 Th 0.250 0.250 0.750
Au1 Au 0.000 0.000 0.500
# Total DFT energy (no corrections) = -4.519 eV per atom
# E_form = -22.8 kJ/mol of atoms
# Crystal system = cubic

15.
# LiLuTlAu | Alexandria via LeMat-Bulk | PBE-GGA | optimized geometry
data_LiLuTlAu
_symmetry_space_group_name_H-M 'F -4 3 m'
_symmetry_Int_Tables_number 216
_symmetry_space_group_name_Hall 'F -4 2 3'
_cell_length_a 6.955
_cell_length_b 6.955
_cell_length_c 6.955
_cell_angle_alpha 90.00
_cell_angle_beta 90.00
_cell_angle_gamma 90.00
loop_
_atom_site_label
_atom_site_type_symbol
_atom_site_fract_x
_atom_site_fract_y
_atom_site_fract_z
Li1 Li 0.000 0.000 0.000
Lu1 Lu 0.000 0.000 0.500
Tl1 Tl 0.250 0.250 0.250
Au1 Au 0.250 0.250 0.750
# Total DFT energy (no corrections) = -3.493 eV per atom
# E_form = -45.7 kJ/mol of atoms
# Crystal system = cubic

16.
# LiYLuAu | Alexandria via LeMat-Bulk | PBE-GGA | optimized geometry
data_LiYLuAu
_symmetry_space_group_name_H-M 'F -4 3 m'
_symmetry_Int_Tables_number 216
_symmetry_space_group_name_Hall 'F -4 2 3'
_cell_length_a 7.144
_cell_length_b 7.144
_cell_length_c 7.144
_cell_angle_alpha 90.00
_cell_angle_beta 90.00
_cell_angle_gamma 90.00
loop_
_atom_site_label
_atom_site_type_symbol
_atom_site_fract_x
_atom_site_fract_y
_atom_site_fract_z
Li1 Li 0.000 0.000 0.000
Y1 Y 0.250 0.250 0.750
Lu1 Lu 0.250 0.250 0.250
Au1 Au 0.000 0.000 0.500
# Total DFT energy (no corrections) = -4.474 eV per atom
# E_form = -41.5 kJ/mol of atoms
# Crystal system = cubic

17.
# Li4Mg2Au3 | Alexandria via LeMat-Bulk | PBE-GGA | optimized geometry
data_Li4Mg2Au3
_symmetry_space_group_name_H-M 'C 1 2/m 1'
_symmetry_Int_Tables_number 12
_cell_length_a 9.462
_cell_length_b 4.168
_cell_length_c 8.447
_cell_angle_alpha 90.00
_cell_angle_beta 114.08
_cell_angle_gamma 90.00
loop_
_symmetry_equiv_pos_as_xyz
'x,y,z'
'-x,-y,-z'
'-x,y,-z'
'x,-y,z'
'x+1/2,y+1/2,z'
'-x+1/2,-y+1/2,-z'
'-x+1/2,y+1/2,-z'
'x+1/2,-y+1/2,z'
loop_
_atom_site_label
_atom_site_type_symbol
_atom_site_fract_x
_atom_site_fract_y
_atom_site_fract_z
Li1 Li 0.012 0.000 0.349
Li2 Li 0.171 0.500 0.887
Mg1 Mg 0.163 0.500 0.227
Au1 Au 0.000 0.000 0.000
Au2 Au 0.165 0.500 0.564
# Total DFT energy (no corrections) = -2.762 eV per atom
# E_form = -44.9 kJ/mol of atoms
# Crystal system = monoclinic

18.
# LiMg4Au | Alexandria via LeMat-Bulk | PBE-GGA | optimized geometry
data_LiMg4Au
_symmetry_space_group_name_H-M 'F -4 3 m'
_symmetry_Int_Tables_number 216
_symmetry_space_group_name_Hall 'F -4 2 3'
_cell_length_a 7.975
_cell_length_b 7.975
_cell_length_c 7.975
_cell_angle_alpha 90.00
_cell_angle_beta 90.00
_cell_angle_gamma 90.00
loop_
_atom_site_label
_atom_site_type_symbol
_atom_site_fract_x
_atom_site_fract_y
_atom_site_fract_z
Li1 Li 0.000 0.000 0.000
Mg1 Mg 0.124 0.124 0.624
Au1 Au 0.250 0.250 0.250
# Distance to the lowest polymorph of the same formula = 0.104 eV per atom
# Total DFT energy (no corrections) = -1.924 eV per atom
# E_form = 0.4 kJ/mol of atoms
# Crystal system = cubic

19.
# LiMg6Au5 | Alexandria via LeMat-Bulk | PBE-GGA | optimized geometry
data_LiMg6Au5
_symmetry_space_group_name_H-M 'C m m m'
_symmetry_Int_Tables_number 65
_symmetry_space_group_name_Hall '-C 2 2'
_cell_length_a 4.623
_cell_length_b 13.927
_cell_length_c 6.717
_cell_angle_alpha 90.00
_cell_angle_beta 90.00
_cell_angle_gamma 90.00
loop_
_atom_site_label
_atom_site_type_symbol
_atom_site_fract_x
_atom_site_fract_y
_atom_site_fract_z
Li1 Li 0.000 0.000 0.000
Mg1 Mg 0.000 0.169 0.248
Mg2 Mg 0.000 0.500 0.260
Au1 Au 0.000 0.000 0.500
Au2 Au 0.000 0.331 0.500
Au3 Au 0.000 0.344 0.000
# Total DFT energy (no corrections) = -2.885 eV per atom
# E_form = -54.3 kJ/mol of atoms
# Crystal system = orthorhombic

20.
# Li4MgAu2 | Alexandria via LeMat-Bulk | PBE-GGA | optimized geometry
data_Li4MgAu2
_symmetry_space_group_name_H-M 'F m m m'
_symmetry_Int_Tables_number 69
_symmetry_space_group_name_Hall '-F 2 2'
_cell_length_a 5.307
_cell_length_b 9.149
_cell_length_c 9.152
_cell_angle_alpha 90.00
_cell_angle_beta 90.00
_cell_angle_gamma 90.00
loop_
_atom_site_label
_atom_site_type_symbol
_atom_site_fract_x
_atom_site_fract_y
_atom_site_fract_z
Li1 Li 0.250 0.000 0.250
Li2 Li 0.250 0.250 0.250
Mg1 Mg 0.000 0.000 0.000
Au1 Au 0.000 0.158 0.500
# Distance to the lowest polymorph of the same formula = 0.193 eV per atom
# Total DFT energy (no corrections) = -2.444 eV per atom
# E_form = -17.9 kJ/mol of atoms
# Crystal system = orthorhombic

Here are the calculated N(E_F) numbers, same order: 4.9 2.7 3.1 1.5 2.6 2.8 1.5 8.7 1.8 1.5 3.3 3.1 2.3 4.8 1.4 2.7 2.4 2.1 3.2 2.0 (states/eV/f.u.).